1.
Here is a relaxed structure of Tb6NdIn2 from Alexandria via LeMat-Bulk. Energies are from PBE-GGA.

a = 4.7958 Å, b = 6.0281 Å, c = 10.4783 Å
α = 73.77°, β = 76.77°, γ = 66.56°
Closest atoms and distances in Å follow each position.
Positions (direct):
Tb1 0.9943 0.3389 0.6724  8 Tb 3.40-3.59, 3 In 3.45-3.46, 1 Nd 3.47
Tb2 0.6725 0.5418 0.1131  5 Tb 3.40-3.49, 4 In 3.41-3.54, 3 Nd 3.43-3.50
Tb3 0.0057 0.6611 0.3276  8 Tb 3.40-3.59, 3 In 3.45-3.46, 1 Nd 3.47
Tb4 0.3275 0.4582 0.8869  5 Tb 3.40-3.49, 4 In 3.41-3.54, 3 Nd 3.43-3.50
Tb5 0.3293 0.7870 0.5543  9 Tb 3.38-3.58, 3 In 3.45-3.49
Tb6 0.6707 0.2130 0.4457  9 Tb 3.38-3.58, 3 In 3.45-3.49
In1 0.6643 0.8921 0.7793  10 Tb 3.41-3.54, 2 Nd 3.43
In2 0.3357 0.1079 0.2207  10 Tb 3.41-3.54, 2 Nd 3.43
Nd1 0.0000 0.0000 0.0000  4 In 3.43, 8 Tb 3.43-3.50

Values from the calculation:
relative energy among the computed polymorphs = 0 meV/atom
density of states at the Fermi level = 11.9 states/eV/f.u.
SG = No. 12


2.
Here is a relaxed structure of TbNd7In4 from Alexandria via LeMat-Bulk. Energies are from PBE-GGA.

a = 5.8379 Å, b = 9.5453 Å, c = 7.9366 Å
α = 75.38°, β = 68.42°, γ = 72.19°
Closest atoms and distances in Å follow each position.
Positions (direct):
Nd1 0.2052 0.1193 0.4704  3 Nd 3.38-3.62, 4 In 3.45-3.55
Nd2 0.9372 0.3922 0.7334  5 In 3.27-3.63, 2 Nd 3.38-3.54
Nd3 0.0628 0.6078 0.2666  5 In 3.27-3.63, 2 Nd 3.38-3.54
Nd4 0.7204 0.3402 0.2190  4 In 3.08-3.24
Nd5 0.2796 0.6598 0.7810  4 In 3.08-3.24
Nd6 0.7948 0.8807 0.5296  3 Nd 3.38-3.62, 4 In 3.45-3.55
Nd7 0.5000 0.0000 0.0000  2 Tb 2.92, 4 In 3.07-3.20
Tb1 0.0000 0.0000 0.0000  2 Nd 2.92
In1 0.6811 0.6669 0.9709  5 Nd 3.07-3.27, 1 In 3.10
In2 0.5570 0.2471 0.6390  6 Nd 3.08-3.45, 1 In 3.10
In3 0.4430 0.7529 0.3610  6 Nd 3.08-3.45, 1 In 3.10
In4 0.3189 0.3331 0.0291  5 Nd 3.07-3.27, 1 In 3.10

Values from the calculation:
density of states at the Fermi level = 13.5 states/eV/f.u.
SG = No. 12


3.
Here is a relaxed structure of Tb7Nd12In from Alexandria via LeMat-Bulk. Energies are from PBE-GGA.

a = 10.0654 Å, b = 10.0654 Å, c = 10.0654 Å
α = 109.47°, β = 109.47°, γ = 109.47°
Closest atoms and distances in Å follow each position.
Positions (direct):
Nd1 0.5584 0.7791 0.7793  2 Tb 2.95
Nd2 0.2209 0.2207 0.4416  2 Tb 2.95
Nd3 0.7791 0.7793 0.5584  2 Tb 2.95
Nd4 0.7793 0.0002 0.2209  2 Tb 2.95
Nd5 0.2207 0.9998 0.7791  2 Tb 2.95
Nd6 0.7791 0.2207 0.9998  2 Tb 2.95
Nd7 0.2207 0.4416 0.2209  2 Tb 2.95
Nd8 0.9998 0.7791 0.2207  2 Tb 2.95
Nd9 0.0002 0.2209 0.7793  2 Tb 2.95
Nd10 0.7793 0.5584 0.7791  2 Tb 2.95
Nd11 0.2209 0.7793 0.0002  2 Tb 2.95
Nd12 0.4416 0.2209 0.2207  2 Tb 2.95
Tb1 0.0000 0.5000 0.5000  12 Nd 4.14-4.59
Tb2 0.0000 0.5000 0.0000  6 Nd 2.95
Tb3 0.5000 0.0000 0.0000  6 Nd 2.95
Tb4 0.0000 0.0000 0.5000  6 Nd 2.95
Tb5 0.5000 0.5000 0.5000  6 Nd 2.95
Tb6 0.5000 0.0000 0.5000  12 Nd 4.14-4.59
Tb7 0.5000 0.5000 0.0000  12 Nd 4.14-4.59
In1 0.0000 0.0000 0.0000  12 Nd 3.63

Values from the calculation:
relative energy among the computed polymorphs = 494 meV/atom
density of states at the Fermi level = 35.1 states/eV/f.u.
SG = No. 229


4.
Here is a relaxed structure of Tb3Nd3In from Alexandria via LeMat-Bulk. Energies are from PBE-GGA.

a = 5.6551 Å, b = 9.5308 Å, c = 9.5305 Å
α = 120.02°, β = 90.00°, γ = 90.00°
Closest atoms and distances in Å follow each position.
Positions (direct):
Tb1 0.2500 0.2390 0.1783  6 Tb 3.49-3.55, 5 Nd 3.51-3.77, 1 In 3.57
Tb2 0.2500 0.9391 0.7609  6 Tb 3.49-3.55, 5 Nd 3.51-3.77, 1 In 3.57
Tb3 0.2500 0.8217 0.0606  6 Tb 3.49-3.55, 5 Nd 3.50-3.77, 1 In 3.57
Tb4 0.7500 0.7610 0.8217  6 Tb 3.49-3.55, 5 Nd 3.51-3.77, 1 In 3.57
Tb5 0.7500 0.0609 0.2391  6 Tb 3.49-3.55, 5 Nd 3.51-3.77, 1 In 3.57
Tb6 0.7500 0.1783 0.9394  6 Tb 3.49-3.55, 5 Nd 3.50-3.77, 1 In 3.57
Nd1 0.2500 0.3701 0.8941  3 In 3.47-3.70, 4 Nd 3.49-3.63, 5 Tb 3.51-3.77
Nd2 0.7500 0.6299 0.1059  3 In 3.47-3.70, 4 Nd 3.49-3.63, 5 Tb 3.51-3.77
Nd3 0.2500 0.5235 0.6298  3 In 3.47-3.70, 4 Nd 3.49-3.63, 5 Tb 3.51-3.77
Nd4 0.7500 0.8942 0.5239  3 In 3.47-3.70, 4 Nd 3.49-3.63, 5 Tb 3.50-3.77
Nd5 0.7500 0.4765 0.3702  3 In 3.47-3.70, 4 Nd 3.49-3.63, 5 Tb 3.51-3.77
Nd6 0.2500 0.1058 0.4761  3 In 3.47-3.70, 4 Nd 3.49-3.63, 5 Tb 3.50-3.77
In1 0.2500 0.6667 0.3332  9 Nd 3.47-3.70, 3 Tb 3.57
In2 0.7500 0.3333 0.6668  9 Nd 3.47-3.70, 3 Tb 3.57

Values from the calculation:
relative energy among the computed polymorphs = 0 meV/atom
density of states at the Fermi level = 9.3 states/eV/f.u.
SG = No. 176


5.
Here is a relaxed structure of TbNd4In4 from Alexandria via LeMat-Bulk. Energies are from PBE-GGA.

a = 7.2344 Å, b = 7.2344 Å, c = 10.9529 Å
α = 90.00°, β = 90.00°, γ = 90.00°
Closest atoms and distances in Å follow each position.
Positions (direct):
In1 0.7406 0.0000 0.2698  5 Nd 3.21-3.32, 1 In 3.48, 1 Tb 3.50
In2 0.0000 0.2594 0.7302  5 Nd 3.21-3.32, 1 In 3.48, 1 Tb 3.50
In3 0.5000 0.2406 0.7698  5 Nd 3.21-3.32, 1 In 3.48, 1 Tb 3.50
In4 0.2406 0.5000 0.2302  5 Nd 3.21-3.32, 1 In 3.48, 1 Tb 3.50
In5 0.5000 0.7594 0.7698  5 Nd 3.21-3.32, 1 In 3.48, 1 Tb 3.50
In6 0.2594 0.0000 0.2698  5 Nd 3.21-3.32, 1 In 3.48, 1 Tb 3.50
In7 0.7594 0.5000 0.2302  5 Nd 3.21-3.32, 1 In 3.48, 1 Tb 3.50
In8 0.0000 0.7406 0.7302  5 Nd 3.21-3.32, 1 In 3.48, 1 Tb 3.50
Nd1 0.5000 0.2227 0.0725  5 In 3.21-3.32, 3 Nd 3.22-3.25
Nd2 0.2227 0.5000 0.9275  5 In 3.21-3.32, 3 Nd 3.22-3.25
Nd3 0.0000 0.2773 0.4275  5 In 3.21-3.32, 3 Nd 3.22-3.25
Nd4 0.7227 0.0000 0.5725  5 In 3.21-3.32, 3 Nd 3.22-3.25
Nd5 0.2773 0.0000 0.5725  5 In 3.21-3.32, 3 Nd 3.22-3.25
Nd6 0.7773 0.5000 0.9275  5 In 3.21-3.32, 3 Nd 3.22-3.25
Nd7 0.5000 0.7773 0.0725  5 In 3.21-3.32, 3 Nd 3.22-3.25
Nd8 0.0000 0.7227 0.4275  5 In 3.21-3.32, 3 Nd 3.22-3.25
Tb1 0.0000 0.0000 0.0000  4 In 3.50
Tb2 0.5000 0.5000 0.5000  4 In 3.50

Values from the calculation:
density of states at the Fermi level = 6.2 states/eV/f.u.
SG = No. 137


6.
Here is a relaxed structure of TbNd2In from Alexandria via LeMat-Bulk. Energies are from PBE-GGA.

a = 5.5711 Å, b = 5.5711 Å, c = 5.5711 Å
α = 60.00°, β = 60.00°, γ = 60.00°
Closest atoms and distances in Å follow each position.
Positions (direct):
In1 0.5000 0.5000 0.5000  8 Nd 3.41
Nd1 0.7500 0.7500 0.7500  4 Tb 3.41, 4 In 3.41
Nd2 0.2500 0.2500 0.2500  4 Tb 3.41, 4 In 3.41
Tb1 0.0000 0.0000 0.0000  8 Nd 3.41

Values from the calculation:
relative energy among the computed polymorphs = 124 meV/atom
density of states at the Fermi level = 7.9 states/eV/f.u.
SG = No. 225


| no. | E_form (eV/f.u.) |
| --- | --- |
| 1 | -1.7 |
| 2 | -1.7 |
| 3 | 12.7 |
| 4 | -0.8 |
| 5 | -1.1 |
| 6 | -0.6 |